a) Density functional theory data (GGA-PBE) for a relaxed SrLaCo crystal.

```
6
Lattice="2.025 -12.196 0.000 2.025 12.196 0.000 0.000 0.000 4.076" Properties=species:S:1:pos:R:3 pbc="T T T"
Sr 2.025 7.683 3.057
Sr 2.025 -7.683 1.019
La 2.025 1.568 3.057
La 2.025 -1.568 1.019
Co 2.025 11.647 3.057
Co 2.025 -11.647 1.019
```

M_tot, μB/f.u.: 0.533


b) Density functional theory data (GGA-PBE) for a relaxed SrLaCo crystal.

```
3
Lattice="4.076 0.000 0.000 -2.038 3.530 0.000 0.000 0.000 6.853" Properties=species:S:1:pos:R:3 pbc="T T T"
Sr 0.000 0.000 0.000
La 0.000 2.353 3.189
Co 2.038 1.177 1.936
```

M_tot, μB/f.u.: 0.000


Which structure is most stable, and how do the rest compare? From most to least stable: a), b).


a) Density functional theory data (GGA-PBE) for a relaxed SrLa2TlCo crystal.

```
5
Lattice="5.965 0.000 0.000 0.000 5.965 0.000 0.000 0.000 4.667" Properties=species:S:1:pos:R:3 pbc="T T T"
Sr 0.000 0.000 0.000
La 0.000 2.982 0.000
La 2.982 0.000 0.000
Tl 2.982 2.982 2.334
Co 0.000 0.000 2.334
```

M_tot, μB/f.u.: 0.664


b) Density functional theory data (GGA-PBE) for a relaxed SrLa2TlCo crystal.

```
5
Lattice="5.255 0.000 0.000 0.000 5.255 0.000 0.000 0.000 5.826" Properties=species:S:1:pos:R:3 pbc="T T T"
Sr 0.000 0.000 0.000
La 0.000 2.628 2.913
La 2.628 0.000 2.913
Tl 2.628 2.628 0.000
Co 0.000 0.000 2.913
```

M_tot, μB/f.u.: 0.000


Which structure is most stable, and how do the rest compare? From most to least stable: b), a).


a) Density functional theory data (GGA-PBE) for a relaxed LaTa2Co crystal.

```
4
Lattice="0.000 3.291 3.291 3.291 0.000 3.291 3.291 3.291 0.000" Properties=species:S:1:pos:R:3 pbc="T T T"
La 0.000 0.000 0.000
Ta 1.645 1.645 1.645
Ta 4.936 4.936 4.936
Co 3.291 3.291 3.291
```

M_tot, μB/f.u.: 0.000


b) Density functional theory data (GGA-PBE) for a relaxed LaTa2Co crystal.

```
4
Lattice="-1.975 1.975 5.064 1.975 -1.975 5.064 1.975 1.975 -5.064" Properties=species:S:1:pos:R:3 pbc="T T T"
La 0.000 0.000 0.000
Ta 1.975 0.000 2.532
Ta 0.000 1.975 2.532
Co 0.000 0.000 5.064
```

M_tot, μB/f.u.: 0.000


c) Density functional theory data (GGA-PBE) for a relaxed LaTa2Co crystal.

```
4
Lattice="3.143 0.000 0.000 0.000 4.877 0.000 -1.085 0.000 5.111" Properties=species:S:1:pos:R:3 pbc="T T T"
La 0.000 0.000 0.000
Ta 0.145 2.438 3.696
Ta 1.913 2.438 1.414
Co 1.029 0.000 2.555
```

M_tot, μB/f.u.: 0.676


d) Density functional theory data (GGA-PBE) for a relaxed LaTa2Co crystal.

```
4
Lattice="1.500 0.866 9.899 -1.500 0.866 9.899 0.000 -1.732 9.899" Properties=species:S:1:pos:R:3 pbc="T T T"
La 0.000 0.000 0.000
Ta 0.000 0.000 2.993
Ta 0.000 0.000 26.705
Co 0.000 0.000 14.849
```

M_tot, μB/f.u.: 0.088


Which structure is most stable, and how do the rest compare? From most to least stable: c), b), a), d).